1.
Compound: Sm3ErIn3
Source: Alexandria
Functional: PBE
Structure: relaxed

```
Sm3ErIn3
1.0
9.431 0.000 0.000
0.000 9.431 0.000
0.000 0.000 9.431
Sm Er In
12 4 12
Direct
0.069 0.431 0.569
0.172 0.828 0.328
0.176 0.176 0.176
0.324 0.824 0.676
0.328 0.172 0.828
0.431 0.569 0.069
0.569 0.069 0.431
0.672 0.672 0.672
0.676 0.324 0.824
0.824 0.676 0.324
0.828 0.328 0.172
0.931 0.931 0.931
0.078 0.578 0.922
0.422 0.422 0.422
0.578 0.922 0.078
0.922 0.078 0.578
0.003 0.256 0.869
0.131 0.503 0.244
0.244 0.131 0.503
0.256 0.869 0.003
0.369 0.497 0.744
0.497 0.744 0.369
0.503 0.244 0.131
0.631 0.997 0.756
0.744 0.369 0.497
0.756 0.631 0.997
0.869 0.003 0.256
0.997 0.756 0.631
```

Output
The formation enthalpy at 0 K comes out at -323 meV per atom. The calculation puts the offset from the most stable computed form at 0.0 meV/atom. For the density of states at the Fermi level, the calculation gives 1.18 states/eV/atom. As for the volume: 29.96 Å³ per atom.


2.
Compound: SmEr12In6
Source: Alexandria
Functional: PBE
Structure: relaxed

```
SmEr12In6
1.0
6.903 3.986 3.695
-6.903 3.986 3.695
0.000 -7.971 3.695
Sm Er In
1 12 6
Direct
0.000 0.000 0.000
0.124 0.500 0.876
0.124 0.876 0.500
0.179 0.445 0.445
0.445 0.179 0.445
0.445 0.445 0.179
0.500 0.124 0.876
0.500 0.876 0.124
0.555 0.555 0.821
0.555 0.821 0.555
0.821 0.555 0.555
0.876 0.124 0.500
0.876 0.500 0.124
0.243 0.243 0.700
0.243 0.700 0.243
0.300 0.757 0.757
0.700 0.243 0.243
0.757 0.300 0.757
0.757 0.757 0.300
```

Output
The formation enthalpy at 0 K comes out at -33 meV per atom. For the density of states at the Fermi level, the calculation gives 1.36 states/eV/atom. As for the volume: 32.11 Å³ per atom.


3.
Compound: SmErIn4
Source: Alexandria
Functional: PBE
Structure: relaxed

```
SmErIn4
1.0
0.000 4.251 4.251
4.251 0.000 4.251
4.251 4.251 0.000
Sm Er In
1 1 4
Direct
0.000 0.000 0.000
0.750 0.750 0.750
0.375 0.375 0.375
0.375 0.375 0.875
0.375 0.875 0.375
0.875 0.375 0.375
```

Output
The formation enthalpy at 0 K comes out at -339 meV per atom. The calculation puts the offset from the most stable computed form at 0.0 meV/atom. For the density of states at the Fermi level, the calculation gives 0.69 states/eV/atom. As for the volume: 25.62 Å³ per atom.


4.
Compound: SmErIn2
Source: Alexandria
Functional: PBE
Structure: relaxed

```
SmErIn2
1.0
0.000 3.782 3.782
3.782 0.000 3.782
3.782 3.782 0.000
Sm Er In
1 1 2
Direct
0.000 0.000 0.000
0.500 0.500 0.500
0.250 0.250 0.250
0.750 0.750 0.750
```

Output
The formation enthalpy at 0 K comes out at -468 meV per atom. The calculation puts the offset from the most stable computed form at 1.6 meV/atom. For the density of states at the Fermi level, the calculation gives 0.37 states/eV/atom. As for the volume: 27.05 Å³ per atom.


5.
Compound: Sm3Er2In6
Source: Alexandria
Functional: PBE
Structure: relaxed

```
Sm3Er2In6
1.0
-2.897 2.897 11.181
2.897 -2.897 11.181
2.897 2.897 -11.181
Sm Er In
3 2 6
Direct
0.000 0.000 0.000
0.151 0.151 0.000
0.849 0.849 0.000
0.427 0.427 0.000
0.573 0.573 0.000
0.074 0.574 0.500
0.291 0.291 0.000
0.426 0.926 0.500
0.574 0.074 0.500
0.709 0.709 0.000
0.926 0.426 0.500
```

Output
The formation enthalpy at 0 K comes out at 50 meV per atom. For the density of states at the Fermi level, the calculation gives 1.26 states/eV/atom. As for the volume: 34.11 Å³ per atom.


6.
Compound: SmEr4In2
Source: Alexandria
Functional: PBE
Structure: relaxed

```
SmEr4In2
1.0
9.257 0.000 0.000
0.000 9.257 0.000
0.000 0.000 4.986
Sm Er In
2 8 4
Direct
0.000 0.000 0.000
0.500 0.500 0.500
0.111 0.360 0.500
0.140 0.611 0.000
0.360 0.111 0.500
0.389 0.860 0.000
0.611 0.140 0.000
0.640 0.889 0.500
0.860 0.389 0.000
0.889 0.640 0.500
0.185 0.815 0.500
0.315 0.315 0.000
0.685 0.685 0.000
0.815 0.185 0.500
```

Output
The formation enthalpy at 0 K comes out at -161 meV per atom. The calculation puts the offset from the most stable computed form at 0.0 meV/atom. For the density of states at the Fermi level, the calculation gives 1.40 states/eV/atom. As for the volume: 30.51 Å³ per atom.